Entry 1:
First-principles (GGA-PBE) data for a relaxed structure of VRhN2, as listed in Alexandria.

Unit cell a=3.7418 b=3.7418 c=3.7418 alpha=60.00 beta=60.00 gamma=60.00
Last column: nearest neighbours and their distance in Å.
Atoms (fractional coordinates):
1 N 0.2500 0.2500 0.2500  4 Rh 2.29, 4 V 2.29
2 N 0.7500 0.7500 0.7500  4 Rh 2.29, 4 V 2.29
3 Rh 0.5000 0.5000 0.5000  8 N 2.29
4 V 0.0000 0.0000 0.0000  8 N 2.29

Calculated density ... 8.15 g/cm³
Raw formation energy ... 0.50 eV/atom
Space-group type ... Fm-3m
Excess energy over the best structure of this formula in the dataset ... 803 meV per atom

Entry 2:
First-principles (GGA-PBE) data for a relaxed structure of Zr2VRhN, as listed in Alexandria.

Unit cell a=5.2599 b=3.6644 c=5.2599 alpha=90.00 beta=90.00 gamma=90.00
Last column: nearest neighbours and their distance in Å.
Atoms (fractional coordinates):
1 V 0.5000 0.5000 0.5000  8 Zr 3.21
2 Zr 0.5000 0.0000 0.0000  2 Rh 2.63
3 Zr 0.0000 0.0000 0.5000  2 Rh 2.63
4 N 0.0000 0.5000 0.0000  2 Rh 1.83
5 Rh 0.0000 0.0000 0.0000  2 N 1.83

Calculated density ... 5.74 g/cm³
Raw formation energy ... 0.75 eV/atom
Space-group type ... P4/mmm
Excess energy over the best structure of this formula in the dataset ... 1640 meV per atom

Entry 3:
First-principles (GGA-PBE) data for a relaxed structure of Zr2VRhN, as listed in Alexandria.

Unit cell a=4.5377 b=4.5377 c=3.7955 alpha=90.00 beta=90.00 gamma=90.00
Last column: nearest neighbours and their distance in Å.
Atoms (fractional coordinates):
1 V 0.0000 0.0000 0.5000  2 N 1.90
2 N 0.0000 0.0000 0.0000  2 V 1.90
3 Zr 0.0000 0.5000 0.0000  2 N 2.27
4 Zr 0.5000 0.0000 0.0000  2 N 2.27
5 Rh 0.5000 0.5000 0.5000  8 Zr 2.96, 4 V 3.21

Calculated density ... 7.44 g/cm³
Raw formation energy ... -0.89 eV/atom
Space-group type ... P4/mmm
Excess energy over the best structure of this formula in the dataset ... 0 meV per atom

Entry 4:
First-principles (GGA-PBE) data for a relaxed structure of Zr2VRhN, as listed in Alexandria.

Unit cell a=4.4556 b=4.0338 c=4.4556 alpha=90.00 beta=90.00 gamma=90.00
Last column: nearest neighbours and their distance in Å.
Atoms (fractional coordinates):
1 Rh 0.0000 0.5000 0.0000  2 N 2.02
2 V 0.5000 0.5000 0.5000  8 Zr 3.01, 4 Rh 3.15
3 Zr 0.0000 0.0000 0.5000  2 N 2.23
4 Zr 0.5000 0.0000 0.0000  2 N 2.23
5 N 0.0000 0.0000 0.0000  2 Rh 2.02, 4 Zr 2.23

Calculated density ... 7.26 g/cm³
Raw formation energy ... -0.39 eV/atom
Space-group type ... P4/mmm
Excess energy over the best structure of this formula in the dataset ... 499 meV per atom

Entry 5:
First-principles (GGA-PBE) data for a relaxed structure of RhW3N, as listed in Alexandria.

Unit cell a=4.6838 b=4.6838 c=4.6838 alpha=90.00 beta=90.00 gamma=90.00
Last column: nearest neighbours and their distance in Å.
Atoms (fractional coordinates):
1 W 0.0000 0.5000 0.0000  2 Rh 2.34
2 W 0.0000 0.0000 0.5000  2 Rh 2.34
3 W 0.5000 0.0000 0.0000  2 Rh 2.34
4 N 0.5000 0.5000 0.5000  12 W 3.31
5 Rh 0.0000 0.0000 0.0000  6 W 2.34

Calculated density ... 10.80 g/cm³
Raw formation energy ... 3.12 eV/atom
Space-group type ... Pm-3m
Excess energy over the best structure of this formula in the dataset ... 3151 meV per atom

Entry 6:
First-principles (GGA-PBE) data for a relaxed structure of RhW3N, as listed in Alexandria.

Unit cell a=4.1071 b=4.1071 c=4.1071 alpha=90.00 beta=90.00 gamma=90.00
Last column: nearest neighbours and their distance in Å.
Atoms (fractional coordinates):
1 N 0.0000 0.0000 0.0000  6 W 2.05
2 W 0.0000 0.0000 0.5000  2 N 2.05
3 W 0.0000 0.5000 0.0000  2 N 2.05
4 W 0.5000 0.0000 0.0000  2 N 2.05
5 Rh 0.5000 0.5000 0.5000  12 W 2.90

Calculated density ... 16.02 g/cm³
Raw formation energy ... -0.03 eV/atom
Space-group type ... Pm-3m
Excess energy over the best structure of this formula in the dataset ... 0 meV per atom